Entry 1:
{"formula": "Y4OsBr", "functional": "PBE", "state": "relaxed", "cell": [[0.0000, 4.3329, 4.3329], [4.3329, 0.0000, 4.3329], [4.3329, 4.3329, 0.0000]], "species": ["Y", "Y", "Y", "Y", "Os", "Br"], "fractional_positions": [[0.3775, 0.3775, 0.3775], [0.3775, 0.3775, 0.8676], [0.3775, 0.8676, 0.3775], [0.8676, 0.3775, 0.3775], [0.7500, 0.7500, 0.7500], [0.0000, 0.0000, 0.0000]], "m_tot_mub_per_cell": 1.106, "vol_a3_per_fu": 162.7, "density_g_cm3": 6.39, "final_energy_ev_per_atom": -5.611}

---

Entry 2:
{"formula": "TbHoSn2", "functional": "PBE", "state": "relaxed", "cell": [[1.9352, 1.1173, 8.8830], [-1.9352, 1.1173, 8.8830], [0.0000, -2.2346, 8.8830]], "species": ["Tb", "Ho", "Sn", "Sn"], "fractional_positions": [[0.0000, 0.0000, 0.0000], [0.5000, 0.5000, 0.5000], [0.2494, 0.2494, 0.2494], [0.7506, 0.7506, 0.7506]], "m_tot_mub_per_cell": 0.000, "vol_a3_per_fu": 115.2, "density_g_cm3": 8.09, "final_energy_ev_per_atom": -4.828}

---

Entry 3:
{"formula": "RbNpTaO6", "functional": "PBE", "state": "relaxed", "cell": [[-3.7418, 3.9142, 5.3874], [3.7418, -3.9142, 5.3874], [3.7418, 3.9142, -5.3874]], "species": ["Rb", "Rb", "Np", "Np", "Ta", "Ta", "O", "O", "O", "O", "O", "O", "O", "O", "O", "O", "O", "O"], "fractional_positions": [[0.3635, 0.1135, 0.2500], [0.6365, 0.8865, 0.7500], [0.0000, 0.5000, 0.5000], [0.5000, 0.5000, 0.0000], [0.0000, 0.0000, 0.5000], [0.0000, 0.5000, 0.0000], [0.0570, 0.8070, 0.2500], [0.0590, 0.4310, 0.2391], [0.0590, 0.8198, 0.6280], [0.3081, 0.1802, 0.7391], [0.3081, 0.5690, 0.1280], [0.3236, 0.5736, 0.7500], [0.6764, 0.4264, 0.2500], [0.6919, 0.4310, 0.8720], [0.6919, 0.8198, 0.2609], [0.9410, 0.1802, 0.3720], [0.9410, 0.5690, 0.7609], [0.9430, 0.1930, 0.7500]], "m_tot_mub_per_cell": 2.000, "vol_a3_per_fu": 157.8, "density_g_cm3": 6.31, "final_energy_ev_per_atom": -8.880}

---

Entry 4:
{"formula": "LiTh2Ni12P3", "functional": "PBE", "state": "relaxed", "cell": [[4.2463, 2.4516, 3.9639], [-4.2463, 2.4516, 3.9639], [0.0000, -4.9032, 3.9639]], "species": ["Li", "Th", "Th", "Ni", "Ni", "Ni", "Ni", "Ni", "Ni", "Ni", "Ni", "Ni", "Ni", "Ni", "Ni", "P", "P", "P"], "fractional_positions": [[0.0000, 0.0000, 0.0000], [0.3357, 0.3357, 0.3357], [0.6643, 0.6643, 0.6643], [0.1086, 0.6206, 0.6206], [0.1796, 0.1796, 0.6929], [0.1796, 0.6929, 0.1796], [0.3071, 0.8204, 0.8204], [0.3794, 0.3794, 0.8914], [0.3794, 0.8914, 0.3794], [0.6206, 0.1086, 0.6206], [0.6206, 0.6206, 0.1086], [0.6929, 0.1796, 0.1796], [0.8204, 0.3071, 0.8204], [0.8204, 0.8204, 0.3071], [0.8914, 0.3794, 0.3794], [0.0000, 0.0000, 0.5000], [0.0000, 0.5000, 0.0000], [0.5000, 0.0000, 0.0000]], "m_tot_mub_per_cell": 0.000, "vol_a3_per_fu": 247.6, "density_g_cm3": 8.51, "final_energy_ev_per_atom": -5.903}

---

Entry 5:
{"formula": "Na2RhCl4", "functional": "PBE", "state": "relaxed", "cell": [[-3.4225, 3.4225, 3.7247], [3.4225, -3.4225, 3.7247], [3.4225, 3.4225, -3.7247]], "species": ["Na", "Na", "Rh", "Cl", "Cl", "Cl", "Cl"], "fractional_positions": [[0.2500, 0.7500, 0.5000], [0.7500, 0.2500, 0.5000], [0.0000, 0.0000, 0.0000], [0.2397, 0.2397, 0.4793], [0.2397, 0.7603, 0.0000], [0.7603, 0.2397, 0.0000], [0.7603, 0.7603, 0.5207]], "m_tot_mub_per_cell": 1.004, "vol_a3_per_fu": 174.5, "density_g_cm3": 2.77, "final_energy_ev_per_atom": -3.572}

---

Entry 6:
{"formula": "AcPr5Nd6", "functional": "PBE", "state": "relaxed", "cell": [[3.2275, -5.5920, 0.0000], [3.2275, 5.5920, 0.0000], [-2.1693, 0.0000, 12.1241]], "species": ["Ac", "Pr", "Pr", "Pr", "Pr", "Pr", "Nd", "Nd", "Nd", "Nd", "Nd", "Nd"], "fractional_positions": [[0.0000, 0.0000, 0.0000], [0.1670, 0.8330, 0.5000], [0.3335, 0.6665, 0.0000], [0.5000, 0.5000, 0.5000], [0.6665, 0.3335, 0.0000], [0.8330, 0.1670, 0.5000], [0.0834, 0.4189, 0.2523], [0.2519, 0.2519, 0.7475], [0.4189, 0.0834, 0.2523], [0.5811, 0.9166, 0.7477], [0.7481, 0.7481, 0.2525], [0.9166, 0.5811, 0.7477]], "m_tot_mub_per_cell": 0.000, "vol_a3_per_fu": 437.6, "density_g_cm3": 6.82, "final_energy_ev_per_atom": -4.701}

---

Entry 7:
{"formula": "BaAgPt2", "functional": "PBE", "state": "relaxed", "cell": [[0.0000, 3.5461, 3.5461], [3.5461, 0.0000, 3.5461], [3.5461, 3.5461, 0.0000]], "species": ["Ba", "Ag", "Pt", "Pt"], "fractional_positions": [[0.0000, 0.0000, 0.0000], [0.7500, 0.7500, 0.7500], [0.2500, 0.2500, 0.2500], [0.5000, 0.5000, 0.5000]], "m_tot_mub_per_cell": 0.000, "vol_a3_per_fu": 89.2, "density_g_cm3": 11.83, "final_energy_ev_per_atom": -4.194}

---

Entry 8:
{"formula": "TaFeNi2", "functional": "PBE", "state": "relaxed", "cell": [[4.3025, -1.3774, 0.0000], [4.3025, 1.3774, 0.0000], [-0.9724, 0.0000, 4.3644]], "species": ["Ta", "Fe", "Ni", "Ni"], "fractional_positions": [[0.0000, 0.0000, 0.0000], [0.7572, 0.7572, 0.2895], [0.2444, 0.2444, 0.7565], [0.5009, 0.5009, 0.5017]], "m_tot_mub_per_cell": 2.707, "vol_a3_per_fu": 51.7, "density_g_cm3": 11.37, "final_energy_ev_per_atom": -8.027}

---

Entry 9:
{"formula": "PuPaAsS", "functional": "PBE", "state": "relaxed", "cell": [[0.0000, 3.4891, 3.4891], [3.4891, 0.0000, 3.4891], [3.4891, 3.4891, 0.0000]], "species": ["Pu", "Pa", "As", "S"], "fractional_positions": [[0.0000, 0.0000, 0.0000], [0.5000, 0.5000, 0.5000], [0.2500, 0.2500, 0.2500], [0.7500, 0.7500, 0.7500]], "m_tot_mub_per_cell": 7.613, "vol_a3_per_fu": 84.9, "density_g_cm3": 11.38, "final_energy_ev_per_atom": -9.258}

---

Entry 10:
{"formula": "NbGaSb2Te", "functional": "PBE", "state": "relaxed", "cell": [[5.1363, 0.0000, 0.0000], [0.0000, 5.1363, 0.0000], [0.0000, 0.0000, 5.2759]], "species": ["Nb", "Ga", "Sb", "Sb", "Te"], "fractional_positions": [[0.0000, 0.0000, 0.0000], [0.5000, 0.5000, 0.5000], [0.0000, 0.5000, 0.5000], [0.5000, 0.0000, 0.5000], [0.5000, 0.5000, 0.0000]], "m_tot_mub_per_cell": 0.000, "vol_a3_per_fu": 139.2, "density_g_cm3": 6.37, "final_energy_ev_per_atom": -3.825}

---

Entry 11:
{"formula": "PmTm2Ru", "functional": "PBE", "state": "relaxed", "cell": [[7.3148, 0.0000, 0.0000], [0.0000, 9.1042, 0.0000], [0.0000, 0.0000, 6.3390]], "species": ["Pm", "Pm", "Pm", "Pm", "Tm", "Tm", "Tm", "Tm", "Tm", "Tm", "Tm", "Tm", "Ru", "Ru", "Ru", "Ru"], "fractional_positions": [[0.0396, 0.2500, 0.1298], [0.4604, 0.7500, 0.6298], [0.5396, 0.2500, 0.3702], [0.9604, 0.7500, 0.8702], [0.1760, 0.0653, 0.6656], [0.1760, 0.4347, 0.6656], [0.3240, 0.5653, 0.1656], [0.3240, 0.9347, 0.1656], [0.6760, 0.0653, 0.8344], [0.6760, 0.4347, 0.8344], [0.8240, 0.5653, 0.3344], [0.8240, 0.9347, 0.3344], [0.1152, 0.7500, 0.4500], [0.3848, 0.2500, 0.9500], [0.6152, 0.7500, 0.0500], [0.8848, 0.2500, 0.5500]], "m_tot_mub_per_cell": 0.000, "vol_a3_per_fu": 105.5, "density_g_cm3": 9.19, "final_energy_ev_per_atom": -6.060}

---

Entry 12:
{"formula": "Sr2Ca4Ac3", "functional": "PBE", "state": "relaxed", "cell": [[0.0000, 6.5796, 9.1078], [3.6038, 0.0000, 9.1078], [3.6038, 6.5796, 0.0000]], "species": ["Sr", "Sr", "Ca", "Ca", "Ca", "Ca", "Ac", "Ac", "Ac"], "fractional_positions": [[0.1173, 0.1173, 0.8827], [0.8827, 0.8827, 0.1173], [0.1682, 0.4729, 0.5271], [0.4729, 0.1682, 0.8318], [0.5271, 0.8318, 0.1682], [0.8318, 0.5271, 0.4729], [0.0000, 0.0000, 0.5000], [0.5000, 0.5000, 0.0000], [0.5000, 0.5000, 0.5000]], "m_tot_mub_per_cell": 0.000, "vol_a3_per_fu": 431.9, "density_g_cm3": 3.91, "final_energy_ev_per_atom": -2.532}